Arrangement one

Material: MgNbSbW
Method: DFT, GGA-PBE
State: optimized geometry

CIF file:
```
data_MgNbSbW
_cell_length_a 4.694
_cell_length_b 4.694
_cell_length_c 4.694
_cell_angle_alpha 60.00
_cell_angle_beta 60.00
_cell_angle_gamma 60.00
_space_group_name_H-M_alt 'P 1'
_space_group_IT_number 1
loop_
_space_group_symop_operation_xyz
'x,y,z'
loop_
_atom_site_label
_atom_site_fract_x
_atom_site_fract_y
_atom_site_fract_z
Mg1 0.750 0.750 0.750
Nb1 0.000 0.000 0.000
Sb1 0.250 0.250 0.250
W1 0.500 0.500 0.500
```

V, A^3/atom: 18.278
M_tot, Bohr magnetons per cell: 0.2
Space-group type: F-43m



Arrangement two

Material: MgNbSbW
Method: DFT, GGA-PBE
State: optimized geometry

CIF file:
```
data_MgNbSbW
_cell_length_a 4.667
_cell_length_b 4.667
_cell_length_c 4.667
_cell_angle_alpha 60.00
_cell_angle_beta 60.00
_cell_angle_gamma 60.00
_space_group_name_H-M_alt 'P 1'
_space_group_IT_number 1
loop_
_space_group_symop_operation_xyz
'x,y,z'
loop_
_atom_site_label
_atom_site_fract_x
_atom_site_fract_y
_atom_site_fract_z
Mg1 0.750 0.750 0.750
Nb1 0.500 0.500 0.500
Sb1 0.000 0.000 0.000
W1 0.250 0.250 0.250
```

V, A^3/atom: 17.973
M_tot, Bohr magnetons per cell: 0.0
Space-group type: F-43m



Stability, descending: arrangement two, arrangement one



Arrangement one

Material: SmMgNb
Method: DFT, GGA-PBE
State: optimized geometry

CIF file:
```
data_SmMgNb
_cell_length_a 5.027
_cell_length_b 5.027
_cell_length_c 5.027
_cell_angle_alpha 60.00
_cell_angle_beta 60.00
_cell_angle_gamma 60.00
_space_group_name_H-M_alt 'P 1'
_space_group_IT_number 1
loop_
_space_group_symop_operation_xyz
'x,y,z'
loop_
_atom_site_label
_atom_site_fract_x
_atom_site_fract_y
_atom_site_fract_z
Mg1 0.250 0.250 0.250
Nb1 0.750 0.750 0.750
Sm1 0.000 0.000 0.000
```

V, A^3/atom: 29.951
M_tot, Bohr magnetons per cell: 3.0
Space-group type: F-43m



Arrangement two

Material: SmMgNb
Method: DFT, GGA-PBE
State: optimized geometry

CIF file:
```
data_SmMgNb
_cell_length_a 4.853
_cell_length_b 4.853
_cell_length_c 4.853
_cell_angle_alpha 60.00
_cell_angle_beta 60.00
_cell_angle_gamma 60.00
_space_group_name_H-M_alt 'P 1'
_space_group_IT_number 1
loop_
_space_group_symop_operation_xyz
'x,y,z'
loop_
_atom_site_label
_atom_site_fract_x
_atom_site_fract_y
_atom_site_fract_z
Mg1 0.000 0.000 0.000
Nb1 0.250 0.250 0.250
Sm1 0.750 0.750 0.750
```

V, A^3/atom: 26.941
M_tot, Bohr magnetons per cell: 0.2
Space-group type: F-43m



Stability, descending: arrangement two, arrangement one



Arrangement one

Material: MgZrNbTc
Method: DFT, GGA-PBE
State: optimized geometry

CIF file:
```
data_MgZrNbTc
_cell_length_a 4.671
_cell_length_b 4.671
_cell_length_c 4.671
_cell_angle_alpha 60.00
_cell_angle_beta 60.00
_cell_angle_gamma 60.00
_space_group_name_H-M_alt 'P 1'
_space_group_IT_number 1
loop_
_space_group_symop_operation_xyz
'x,y,z'
loop_
_atom_site_label
_atom_site_fract_x
_atom_site_fract_y
_atom_site_fract_z
Mg1 0.750 0.750 0.750
Nb1 0.250 0.250 0.250
Tc1 0.500 0.500 0.500
Zr1 0.000 0.000 0.000
```

V, A^3/atom: 18.011
M_tot, Bohr magnetons per cell: 0.0
Space-group type: F-43m



Arrangement two

Material: MgZrNbTc
Method: DFT, GGA-PBE
State: optimized geometry

CIF file:
```
data_MgZrNbTc
_cell_length_a 4.688
_cell_length_b 4.688
_cell_length_c 4.688
_cell_angle_alpha 60.00
_cell_angle_beta 60.00
_cell_angle_gamma 60.00
_space_group_name_H-M_alt 'P 1'
_space_group_IT_number 1
loop_
_space_group_symop_operation_xyz
'x,y,z'
loop_
_atom_site_label
_atom_site_fract_x
_atom_site_fract_y
_atom_site_fract_z
Mg1 0.750 0.750 0.750
Nb1 0.500 0.500 0.500
Tc1 0.250 0.250 0.250
Zr1 0.000 0.000 0.000
```

V, A^3/atom: 18.216
M_tot, Bohr magnetons per cell: 0.0
Space-group type: F-43m



Stability, descending: arrangement two, arrangement one